(1)
BeZnSb3: relaxed, GGA-PBE.

Unit cell a=5.1923 b=5.1923 c=5.1923 alpha=90.00 beta=90.00 gamma=90.00
With the nearest neighbours (Å) after each atom.
Positions (direct):
Zn (0.0000, 0.0000, 0.0000)  6 Sb 2.60
Be (0.5000, 0.5000, 0.5000)  12 Sb 3.67
Sb (0.0000, 0.5000, 0.0000)  2 Zn 2.60
Sb (0.0000, 0.0000, 0.5000)  2 Zn 2.60
Sb (0.5000, 0.0000, 0.0000)  2 Zn 2.60

Summary:
calculated volume: 140.0 Å³ per cell
crystal system: cubic
SG: No. 221
formation energy (no corrections): 5.223 eV per formula unit

---

(2)
Cr2NiSb: relaxed, GGA-PBE.

Unit cell a=3.6165 b=3.6165 c=9.5856 alpha=79.13 beta=79.13 gamma=90.00
With the nearest neighbours (Å) after each atom.
Positions (direct):
Cr (0.3750, 0.4405, 0.7500)  2 Cr 2.25
Cr (0.8750, 0.8095, 0.7500)  2 Cr 2.25
Cr (0.1905, 0.6250, 0.2500)  2 Cr 2.25
Cr (0.5595, 0.1250, 0.2500)  2 Cr 2.25
Sb (0.0000, 0.0000, 0.0000)  4 Ni 2.56, 4 Cr 2.73
Sb (0.7500, 0.2500, 0.5000)  4 Ni 2.56, 4 Cr 2.73
Ni (0.2500, 0.7500, 0.5000)  4 Sb 2.56, 4 Cr 2.57
Ni (0.5000, 0.5000, 0.0000)  4 Sb 2.56, 4 Cr 2.57

Summary:
calculated volume: 120.8 Å³ per cell
crystal system: tetragonal
SG: No. 122
formation energy (no corrections): 2.269 eV per formula unit

---

(3)
NiPt2Br: relaxed, GGA-PBE.

Unit cell a=4.4784 b=4.4784 c=4.4784 alpha=60.00 beta=60.00 gamma=60.00
With the nearest neighbours (Å) after each atom.
Positions (direct):
Pt (0.7500, 0.7500, 0.7500)  4 Br 2.74, 4 Ni 2.74
Pt (0.2500, 0.2500, 0.2500)  4 Br 2.74, 4 Ni 2.74
Br (0.5000, 0.5000, 0.5000)  8 Pt 2.74
Ni (0.0000, 0.0000, 0.0000)  8 Pt 2.74

Summary:
calculated volume: 63.5 Å³ per cell
crystal system: cubic
SG: No. 225
formation energy (no corrections): 2.717 eV per formula unit

---

(4)
NpPaAu4: relaxed, GGA-PBE.

Unit cell a=3.0782 b=4.8636 c=8.4190 alpha=90.00 beta=90.01 gamma=90.00
With the nearest neighbours (Å) after each atom.
Positions (direct):
Au (0.9998, 0.0000, 0.3340)  5 Au 2.79-3.08
Au (0.0002, 0.5000, 0.8325)  5 Au 2.81-3.08
Au (0.0002, 0.0000, 0.6660)  5 Au 2.79-3.08
Au (0.9998, 0.5000, 0.1675)  5 Au 2.81-3.08
Pa (0.5000, 0.5000, 0.5000)  2 Pa 3.08, 12 Au 3.19-3.20
Np (0.5000, 0.0000, 0.0000)  2 Np 3.08, 12 Au 3.20-3.21

Summary:
calculated volume: 126.0 Å³ per cell
E_form: -0.371 eV per atom
crystal system: orthorhombic
SG: No. 47

---

(5)
NaScS3: relaxed, GGA-PBE.

Unit cell a=4.7720 b=4.7720 c=4.7720 alpha=90.00 beta=90.00 gamma=90.00
With the nearest neighbours (Å) after each atom.
Positions (direct):
S (0.0000, 0.5000, 0.0000)  2 Na 2.39
S (0.5000, 0.0000, 0.0000)  2 Na 2.39
S (0.0000, 0.0000, 0.5000)  2 Na 2.39
Sc (0.5000, 0.5000, 0.5000)  12 S 3.37
Na (0.0000, 0.0000, 0.0000)  6 S 2.39

Summary:
calculated volume: 108.7 Å³ per cell
crystal system: cubic
SG: No. 221
formation energy (no corrections): 0.841 eV per formula unit

---

(6)
ScTlSnC2: relaxed, GGA-PBE.

Unit cell a=4.3668 b=5.6348 c=4.3668 alpha=90.00 beta=90.00 gamma=90.00
With the nearest neighbours (Å) after each atom.
Positions (direct):
Sn (0.0000, 0.0000, 0.0000)  4 C 2.18
Sc (0.0000, 0.5000, 0.0000)  2 Sn 2.82, 4 Tl 3.09
Tl (0.5000, 0.5000, 0.5000)  4 Sc 3.09
C (0.5000, 0.0000, 0.0000)  2 Sn 2.18
C (0.0000, 0.0000, 0.5000)  2 Sn 2.18

Summary:
calculated volume: 107.4 Å³ per cell
E_form: 1.891 eV per atom
crystal system: tetragonal
SG: No. 123

---

(7)
La2SbPd6Pb: relaxed, GGA-PBE.

Unit cell a=6.8926 b=6.6984 c=5.6427 alpha=65.30 beta=65.91 gamma=73.56
With the nearest neighbours (Å) after each atom.
Positions (direct):
Pd (0.3047, 0.1883, 0.5051)  1 Sb 2.75, 1 Pb 2.79, 4 Pd 2.80-2.93, 1 La 3.04
Pd (0.0581, 0.5571, 0.1930)  1 Sb 2.67, 1 Pb 2.76, 1 La 2.89, 4 Pd 2.92-2.94
Pd (0.6947, 0.8121, 0.9992)  1 Sb 2.74, 1 Pb 2.78, 4 Pd 2.80-2.94, 1 La 3.06
Pd (0.3053, 0.1879, 0.0008)  1 Sb 2.74, 1 Pb 2.78, 4 Pd 2.80-2.94, 1 La 3.06
Pd (0.6953, 0.8117, 0.4949)  1 Sb 2.75, 1 Pb 2.79, 4 Pd 2.80-2.93, 1 La 3.04
Pd (0.9419, 0.4429, 0.8070)  1 Sb 2.67, 1 Pb 2.76, 1 La 2.89, 4 Pd 2.92-2.94
Sb (0.0000, 0.0000, 0.0000)  6 Pd 2.67-2.75
La (0.7507, 0.2437, 0.5026)  5 Pd 2.89-3.19
La (0.2493, 0.7563, 0.4974)  5 Pd 2.89-3.19
Pb (0.5000, 0.5000, 0.0000)  6 Pd 2.76-2.79

Summary:
calculated volume: 214.1 Å³ per cell
crystal system: triclinic
SG: No. 2
formation energy (no corrections): -6.222 eV per formula unit

---

(8)
Nd3YPu2Te6: relaxed, GGA-PBE.

Unit cell a=4.4329 b=8.9450 c=9.9710 alpha=103.38 beta=102.84 gamma=90.00
With the nearest neighbours (Å) after each atom.
Positions (direct):
Te (0.9994, 0.7567, 0.9988)  2 Y 3.10, 1 Pu 3.13, 3 Nd 3.18-3.19
Te (0.0006, 0.2433, 0.0012)  2 Y 3.10, 1 Pu 3.13, 3 Nd 3.18-3.19
Te (0.6638, 0.0863, 0.3275)  1 Y 3.09, 2 Pu 3.12, 3 Nd 3.18-3.19
Te (0.3362, 0.9137, 0.6725)  1 Y 3.09, 2 Pu 3.12, 3 Nd 3.18-3.19
Te (0.6683, 0.5800, 0.3365)  3 Pu 3.12-3.13, 3 Nd 3.18
Te (0.3317, 0.4200, 0.6635)  3 Pu 3.12-3.13, 3 Nd 3.18
Nd (0.8324, 0.1658, 0.6649)  6 Te 3.18-3.19
Nd (0.5000, 0.5000, 0.0000)  6 Te 3.18-3.19
Nd (0.1676, 0.8342, 0.3351)  6 Te 3.18-3.19
Y (0.5000, 0.0000, 0.0000)  6 Te 3.09-3.10
Pu (0.8339, 0.6666, 0.6678)  6 Te 3.12-3.13
Pu (0.1661, 0.3334, 0.3322)  6 Te 3.12-3.13

Summary:
calculated volume: 374.5 Å³ per cell
crystal system: monoclinic
SG: No. 12
formation energy (no corrections): -15.750 eV per formula unit

---

(9)
LiTc3H: relaxed, GGA-PBE.

Unit cell a=3.8832 b=3.8832 c=3.8832 alpha=90.00 beta=90.00 gamma=90.00
With the nearest neighbours (Å) after each atom.
Positions (direct):
H (0.0000, 0.0000, 0.0000)  6 Tc 1.94
Li (0.5000, 0.5000, 0.5000)  12 Tc 2.75
Tc (0.0000, 0.5000, 0.0000)  2 H 1.94
Tc (0.0000, 0.0000, 0.5000)  2 H 1.94
Tc (0.5000, 0.0000, 0.0000)  2 H 1.94

Summary:
calculated volume: 58.6 Å³ per cell
crystal system: cubic
SG: No. 221
electronic total energy: -6.9417 eV per atom

---

(10)
La2TiGa: relaxed, GGA-PBE.

Unit cell a=4.3089 b=4.3089 c=11.4792 alpha=79.18 beta=79.18 gamma=90.00
With the nearest neighbours (Å) after each atom.
Positions (direct):
Ga (0.7500, 0.2500, 0.5000)  4 Ti 3.05, 4 La 3.17
Ga (0.0000, 0.0000, 0.0000)  4 Ti 3.05, 4 La 3.17
La (0.3750, 0.3832, 0.7500)  4 La 3.00-3.10, 2 Ti 3.15, 2 Ga 3.17
La (0.6168, 0.1250, 0.2500)  4 La 3.00-3.10, 2 Ti 3.15, 2 Ga 3.17
La (0.1332, 0.6250, 0.2500)  4 La 3.00-3.10, 2 Ti 3.15, 2 Ga 3.17
La (0.8750, 0.8668, 0.7500)  4 La 3.00-3.10, 2 Ti 3.15, 2 Ga 3.17
Ti (0.5000, 0.5000, 0.0000)  4 Ga 3.05, 4 La 3.15
Ti (0.2500, 0.7500, 0.5000)  4 Ga 3.05, 4 La 3.15

Summary:
calculated volume: 205.5 Å³ per cell
E_form: 0.375 eV per atom
crystal system: tetragonal
SG: No. 122

---

(11)
YAl3Fe: relaxed, GGA-PBE.

Unit cell a=5.3503 b=5.3503 c=5.3503 alpha=90.00 beta=90.00 gamma=90.00
With the nearest neighbours (Å) after each atom.
Positions (direct):
Al (0.0000, 0.0000, 0.5000)  2 Y 2.68
Al (0.0000, 0.5000, 0.0000)  2 Y 2.68
Al (0.5000, 0.0000, 0.0000)  2 Y 2.68
Fe (0.5000, 0.5000, 0.5000)  12 Al 3.78
Y (0.0000, 0.0000, 0.0000)  6 Al 2.68

Summary:
calculated volume: 153.2 Å³ per cell
E_form: 1.945 eV per atom
crystal system: cubic
SG: No. 221

---

(12)
HoHgAu: relaxed, GGA-PBE.

Unit cell a=5.0968 b=5.0968 c=6.0746 alpha=90.00 beta=90.00 gamma=120.02
With the nearest neighbours (Å) after each atom.
Positions (direct):
Hg (0.0000, 0.5000, 0.0000)  2 Hg 3.04, 6 Au 3.31, 6 Ho 3.31
Hg (0.0000, 0.5000, 0.5000)  2 Hg 3.04, 6 Au 3.31, 6 Ho 3.31
Ho (0.3333, 0.1667, 0.7500)  5 Au 2.94-3.04
Ho (0.6667, 0.8333, 0.2500)  5 Au 2.94-3.04
Au (0.6665, 0.8335, 0.7500)  5 Ho 2.94-3.04
Au (0.3335, 0.1665, 0.2500)  5 Ho 2.94-3.04

Summary:
calculated volume: 136.6 Å³ per cell
E_form: -0.652 eV per atom
crystal system: hexagonal
SG: No. 194